VASP calculation (PBE+U) on a geometry-optimized MnSn2GeO structure.

```
MnSn2GeO
1.0
-3.164 1.311 -4.458
-0.455 -3.535 -0.717
-4.593 -0.065 3.241
Ge Mn Sn O
1 1 2 1
Cartesian
0.000 0.000 0.000
-4.106 -1.145 -0.967
-2.296 -0.033 1.621
-1.582 0.656 -2.229
-0.228 -1.768 -0.358
```

Computed properties:
Size of the total moment in μB per atom: 0.944
Mass density in g/cm3: 5.5
Electronic total energy in eV/atom: -4.90
Space-group type: P4/mmm (123)
Crystal system: tetragonal